The following is a PBE calculation of a geometry-optimized Mg6Sn5Bi structure, from Alexandria via LeMat-Bulk.

```
Mg6Sn5Bi
1.0
7.704 -4.275 0.000
7.704 4.275 0.000
-1.432 0.000 4.483
Mg Sn Bi
6 5 1
Cartesian
4.638 2.145 1.484
7.704 2.192 0.000
9.339 2.145 2.999
4.638 -2.145 1.484
7.704 -2.192 0.000
9.339 -2.145 2.999
-0.716 0.000 2.242
2.307 0.000 0.741
3.864 0.000 3.710
10.113 0.000 0.773
11.669 0.000 3.742
6.988 0.000 2.242
```

Properties
Theoretical density: 5.33 Mg/m³

The following is a PBE calculation of a geometry-optimized Mg12Sn2Bi5 structure, from Alexandria via LeMat-Bulk.

```
Mg12Sn2Bi5
1.0
6.912 -4.492 0.000
6.912 4.492 0.000
-0.148 0.000 9.144
Mg Sn Bi
12 2 5
Cartesian
1.387 0.000 4.392
5.246 1.801 1.990
5.171 1.788 7.100
4.518 0.000 4.485
8.430 1.801 7.154
8.505 1.788 2.044
5.171 -1.788 7.100
5.246 -1.801 1.990
9.159 0.000 4.660
8.505 -1.788 2.044
8.430 -1.801 7.154
12.289 0.000 4.752
6.838 1.922 4.572
6.838 -1.922 4.572
2.833 0.000 1.805
2.771 0.000 7.016
6.912 0.000 0.000
10.905 0.000 2.128
10.843 0.000 7.339
```

Properties
Theoretical density: 4.60 Mg/m³

The following is a PBE calculation of a geometry-optimized MgSn2Bi structure, from Alexandria via LeMat-Bulk.

```
MgSn2Bi
1.0
3.789 0.000 0.000
0.000 3.789 0.000
0.000 0.000 7.569
Mg Sn Bi
1 2 1
Cartesian
0.000 0.000 0.000
1.895 1.895 1.737
1.895 1.895 5.832
0.000 0.000 3.784
```

Properties
Theoretical density: 7.19 Mg/m³

The following is a PBE calculation of a geometry-optimized Mg2SnBi structure, from Alexandria via LeMat-Bulk.

```
Mg2SnBi
1.0
1.685 0.973 11.337
-1.685 0.973 11.337
0.000 -1.946 11.337
Mg Sn Bi
2 1 1
Cartesian
0.000 0.000 2.933
0.000 0.000 31.078
0.000 0.000 0.000
0.000 0.000 17.005
```

Properties
Theoretical density: 5.60 Mg/m³

The following is a PBE calculation of a geometry-optimized MgSn2Bi structure, from Alexandria via LeMat-Bulk.

```
MgSn2Bi
1.0
-3.468 3.468 6.398
3.468 -3.468 6.398
3.468 3.468 -6.398
Mg Sn Bi
2 4 2
Cartesian
0.000 0.000 0.000
0.000 3.468 3.199
5.201 1.647 -1.600
1.647 1.734 1.600
-1.734 1.821 4.799
1.821 1.734 7.998
3.468 0.000 3.199
0.000 0.000 6.398
```

Properties
Theoretical density: 5.08 Mg/m³

The following is a PBE calculation of a geometry-optimized Mg3SnBi2 structure, from Alexandria via LeMat-Bulk.

```
Mg3SnBi2
1.0
-4.258 6.324 3.368
4.258 -6.324 3.368
4.258 6.324 -3.368
Mg Sn Bi
6 2 4
Cartesian
4.258 -2.608 1.684
0.000 0.000 1.684
4.258 2.608 1.684
0.000 3.717 1.684
0.000 0.000 5.052
0.000 8.932 1.684
4.258 0.000 0.000
0.000 6.324 0.000
1.617 1.846 0.000
1.617 -1.846 3.368
2.641 8.170 0.000
2.641 4.478 3.368
```

Properties
Theoretical density: 5.58 Mg/m³

The following is a PBE calculation of a geometry-optimized Mg2SnBi structure, from Alexandria via LeMat-Bulk.

```
Mg2SnBi
1.0
3.271 0.000 0.000
0.000 4.610 0.000
-1.319 0.000 14.761
Mg Sn Bi
4 2 2
Cartesian
0.121 1.152 2.766
0.148 3.457 6.417
1.804 1.152 8.344
1.831 3.457 11.995
0.175 3.457 9.458
1.777 1.152 5.303
0.244 1.152 13.488
1.708 3.457 1.274
```

Properties
Theoretical density: 5.61 Mg/m³

The following is a PBE calculation of a geometry-optimized MgSn2Bi structure, from Alexandria via LeMat-Bulk.

```
MgSn2Bi
1.0
4.585 0.000 0.000
0.000 4.585 0.000
0.000 0.000 5.235
Mg Sn Bi
1 2 1
Cartesian
0.000 0.000 0.000
0.000 2.293 2.617
2.293 0.000 2.617
2.293 2.293 0.000
```

Properties
Theoretical density: 7.10 Mg/m³

Number 1: calculated formation energy -113 meV/atom. Number 2: calculated formation energy -107 meV/atom. Number 3: calculated formation energy 42 meV/atom. Number 4: calculated formation energy 66 meV/atom. Number 5: calculated formation energy 187 meV/atom. Number 6: calculated formation energy -74 meV/atom. Number 7: calculated formation energy -93 meV/atom. Number 8: calculated formation energy 5 meV/atom.